1.
Density functional theory data (PBE) for MnTeOsN2 after structural relaxation.

a = 3.6619 Å, b = 3.6619 Å, c = 5.7999 Å
α = 90.00°, β = 90.00°, γ = 90.00°
With the nearest neighbours (Å) after each atom.
Space group P4/mmm (No. 123)
Symmetry-distinct sites (fractional):
Mn1 0.0000 0.0000 0.0000  4 N 1.83
Te1 0.0000 0.0000 0.5000  4 Os 2.59, 2 Mn 2.90
Os1 0.5000 0.5000 0.5000  4 Te 2.59
N1 0.0000 0.5000 0.0000  2 Mn 1.83

Output
ΔE to the lowest computed polymorph: 0.662 eV per atom
total moment: 1.57 μB per formula unit
energy relative to the elements, uncorrected: 1.339 eV/atom

2.
Density functional theory data (PBE) for UMn4V after structural relaxation.

a = 6.9024 Å, b = 6.9024 Å, c = 6.9024 Å
α = 90.00°, β = 90.00°, γ = 90.00°
With the nearest neighbours (Å) after each atom.
Space group F-43m (No. 216)
Symmetry-distinct sites (fractional):
U1 0.0000 0.0000 0.0000  12 Mn 2.86, 4 V 2.99
Mn1 0.1243 0.1243 0.3757  6 Mn 2.43-2.45
V1 0.2500 0.2500 0.7500  12 Mn 2.86, 4 U 2.99

Output
total moment: 3.78 μB per formula unit
formation energy from the elements: 2.97 kcal/mol of atoms

3.
Density functional theory data (PBE) for Pu4P2H after structural relaxation.

a = 8.0519 Å, b = 8.0519 Å, c = 8.9147 Å
α = 90.00°, β = 90.00°, γ = 90.00°
With the nearest neighbours (Å) after each atom.
Space group I-42d (No. 122)
Symmetry-distinct sites (fractional):
Pu1 0.0744 0.7147 0.4376  1 H 2.44
P1 0.1058 0.7500 0.1250  8 Pu 2.81-3.08
H1 0.0000 0.0000 0.5000  4 Pu 2.44

Output
ΔE to the lowest computed polymorph: 0.000 eV per atom
total moment: 24.01 μB per formula unit

4.
Density functional theory data (PBE) for AcPm2Pb9 after structural relaxation.

a = 4.9796 Å, b = 4.9796 Å, c = 14.8272 Å
α = 90.00°, β = 90.00°, γ = 90.00°
With the nearest neighbours (Å) after each atom.
Space group P4/mmm (No. 123)
Symmetry-distinct sites (fractional):
Ac1 0.0000 0.0000 0.0000  12 Pb 3.52-3.58
Pm1 0.0000 0.0000 0.3369  12 Pb 3.47-3.52
Pb1 0.0000 0.5000 0.1739  8 Pb 3.47-3.58, 2 Pm 3.47, 2 Ac 3.58
Pb2 0.0000 0.5000 0.5000  4 Pm 3.47, 8 Pb 3.48-3.52
Pb3 0.5000 0.5000 0.0000  4 Ac 3.52, 8 Pb 3.58
Pb4 0.5000 0.5000 0.3365  8 Pb 3.47-3.48, 4 Pm 3.52

Output
total moment: 0.00 μB per formula unit
formation energy from the elements: -8.67 kcal/mol of atoms

5.
Density functional theory data (PBE) for LiSiGeRu after structural relaxation.

a = 5.9984 Å, b = 5.9984 Å, c = 5.9984 Å
α = 90.00°, β = 90.00°, γ = 90.00°
With the nearest neighbours (Å) after each atom.
Space group F-43m (No. 216)
Symmetry-distinct sites (fractional):
Li1 0.0000 0.0000 0.0000  4 Si 2.60, 4 Ge 2.60
Si1 0.2500 0.2500 0.2500  4 Li 2.60, 4 Ru 2.60
Ge1 0.2500 0.2500 0.7500  4 Li 2.60, 4 Ru 2.60
Ru1 0.0000 0.0000 0.5000  4 Ge 2.60, 4 Si 2.60

Output
total moment: 0.00 μB per formula unit
energy relative to the elements, uncorrected: -0.261 eV/atom

6.
Density functional theory data (PBE) for PuZrSc2Sb4 after structural relaxation.

a = 7.2814 Å, b = 4.2165 Å, c = 7.3232 Å
α = 90.00°, β = 109.24°, γ = 90.00°
With the nearest neighbours (Å) after each atom.
Space group P2/m (No. 10)
Symmetry-distinct sites (fractional):
Pu1 0.0000 0.0000 0.0000  6 Sb 3.04-3.06
Zr1 0.0000 0.5000 0.5000  6 Sb 2.98-2.99
Sc1 0.5000 0.0000 0.5000  6 Sb 2.91-2.92
Sc2 0.5000 0.5000 0.0000  6 Sb 2.98-2.99
Sb1 0.2556 0.0000 0.7443  3 Sc 2.91-2.99, 2 Zr 2.99, 1 Pu 3.04
Sb2 0.2617 0.5000 0.2621  3 Sc 2.92-2.98, 1 Zr 2.98, 2 Pu 3.06

Output
total moment: 5.42 μB per formula unit
energy relative to the elements, uncorrected: -0.771 eV/atom

| no. | theoretical density (g cm⁻³) |
| --- | --- |
| 1 | 8.6 |
| 2 | 10.3 |
| 3 | 11.9 |
| 4 | 10.8 |
| 5 | 6.4 |
| 6 | 7.1 |